Compound: HfTl2WO6
Source: the Alexandria database
Functional: PBE with a Hubbard U
Structure: optimized geometry

Values from the calculation:
* energy: -7.21 eV/atom

POSCAR file:
```
HfTl2WO6
1.0
-4.738 2.843 -1.806
-3.343 -3.589 3.120
0.581 5.065 6.449
Tl O W Hf
4 12 2 2
Cartesian
-4.731 -0.004 3.049
-0.400 2.901 5.617
-4.440 2.528 6.274
-0.691 0.369 2.393
-2.843 -1.146 1.156
-2.774 4.275 4.652
-0.970 3.237 2.785
-6.911 -1.397 1.720
-4.857 2.878 3.417
-5.302 0.329 0.219
-3.053 1.839 1.550
-2.368 -1.475 3.892
-3.249 4.604 1.916
-2.067 1.154 7.239
-4.451 -2.873 2.657
-2.578 1.510 4.286
-2.507 -2.693 2.340
-2.914 3.057 3.101
-2.216 -0.159 5.564
-3.205 0.524 -0.123
```